A relaxed structure of MnCd4O4. Source: Alexandria, functional PBE+U.

Calculated values
Space group: Cmcm, No. 63
Magnetization, μB/f.u.: 4.910
Fermi-level density of states, states/eV per cell: 3.8
DFT total energy, eV/atom: -4.286

Cell: 6.4531 6.4531 7.2185 Å, 90.00 90.00 95.03°
With the nearest neighbours (Å) after each atom.
Atoms (fractional coordinates):
Mn: 0.3225 0.3225 0.7500  4 O 2.14
Mn: 0.6775 0.6775 0.2500  4 O 2.14
Cd: 0.1654 0.8346 0.5000  4 O 2.29-2.33
Cd: 0.1654 0.8346 0.0000  4 O 2.29-2.33
Cd: 0.5579 0.8681 0.7500  4 O 2.37-2.48
Cd: 0.1319 0.4421 0.2500  4 O 2.37-2.48
Cd: 0.8681 0.5579 0.7500  4 O 2.37-2.48
Cd: 0.4421 0.1319 0.2500  4 O 2.37-2.48
Cd: 0.8346 0.1654 0.0000  4 O 2.29-2.33
Cd: 0.8346 0.1654 0.5000  4 O 2.29-2.33
O: 0.2507 0.6394 0.7500  1 Mn 2.14, 3 Cd 2.29-2.37
O: 0.3606 0.7493 0.2500  1 Mn 2.14, 3 Cd 2.29-2.37
O: 0.1968 0.1968 0.4948  1 Mn 2.14, 2 Cd 2.33
O: 0.1968 0.1968 0.0052  1 Mn 2.14, 2 Cd 2.33
O: 0.8032 0.8032 0.5052  1 Mn 2.14, 2 Cd 2.33
O: 0.8032 0.8032 0.9948  1 Mn 2.14, 2 Cd 2.33
O: 0.7493 0.3606 0.2500  1 Mn 2.14, 3 Cd 2.29-2.37
O: 0.6394 0.2507 0.7500  1 Mn 2.14, 3 Cd 2.29-2.37